P.
This record from Alexandria describes a relaxed CoGeIO2 crystal. The functional is GGA+U.

It has space group P4/mmm (No. 123), with a = 3.721 Å, b = 3.721 Å, c = 6.523 Å, α = 90.00°, β = 90.00° and γ = 90.00°. The asymmetric unit holds Co at (0.000, 0.000, 0.000), Ge at (0.500, 0.500, 0.500), I at (0.500, 0.500, 0.000) and O at (0.000, 0.500, 0.500).

As for the crystal system: tetragonal.

Q.
This record from Alexandria describes a relaxed CoGeIO2 crystal. The functional is GGA+U.

It has space group P4/mmm (No. 123), with a = 3.998 Å, b = 3.998 Å, c = 5.362 Å, α = 90.00°, β = 90.00° and γ = 90.00°. The asymmetric unit holds Co at (0.000, 0.000, 0.000), Ge at (0.500, 0.500, 0.500), I at (0.000, 0.000, 0.500) and O at (0.000, 0.500, 0.000).

As for the crystal system: tetragonal.

Most stable to least stable: P, Q